A geometry-optimized BeGeSbW structure. Source: Alexandria, functional PBE-GGA.

Lattice parameters (Å, degrees): 3.7600 3.7600 18.8242 90.00 90.00 120.00
Space group R3m (No. 160, hexagonal axes)
Symmetry-distinct sites (fractional):
Be (0.0000, 0.0000, 0.0000) [3 per cell]
Ge (0.0000, 0.0000, 0.2981) [3 per cell]
Sb (0.0000, 0.0000, 0.1479) [3 per cell]
W (0.0000, 0.0000, 0.7216) [3 per cell]

Formation energy from raw total energies   351 meV/atom
Excess energy over the best structure of this formula in the dataset   129 meV per atom

A geometry-optimized La4Sm6Mg structure. Source: Alexandria, functional PBE-GGA.

Lattice parameters (Å, degrees): 6.734 6.734 17.041 90.00 90.00 90.00
Space group I-42m (No. 121)
Symmetry-distinct sites (fractional):
La (0.179, 0.179, 0.180) [8 per cell]
Sm (0.000, 0.500, 0.000) [4 per cell]
Sm (0.163, 0.163, 0.384) [8 per cell]
Mg (0.000, 0.000, 0.000) [2 per cell]

Energy relative to the elements   0.2498 eV/atom

A geometry-optimized AcPm9Y2 structure. Source: Alexandria, functional PBE-GGA.

Lattice parameters (Å, degrees): 5.184 5.184 15.553 90.00 90.00 90.00
Space group P4/mmm (No. 123)
Symmetry-distinct sites (fractional):
Ac (0.000, 0.000, 0.000) [1 per cell]
Pm (0.000, 0.500, 0.173) [4 per cell]
Pm (0.000, 0.500, 0.500) [2 per cell]
Pm (0.500, 0.500, 0.000) [1 per cell]
Pm (0.500, 0.500, 0.337) [2 per cell]
Y (0.000, 0.000, 0.336) [2 per cell]

Energy relative to the elements   0.0251 eV/atom

A geometry-optimized ZrSnRh2 structure. Source: Alexandria, functional PBE-GGA.

Lattice parameters (Å, degrees): 4.294 4.294 7.509 90.00 90.00 90.00
Space group I4/mmm (No. 139)
Symmetry-distinct sites (fractional):
Zr (0.000, 0.000, 0.000) [2 per cell]
Sn (0.000, 0.000, 0.500) [2 per cell]
Rh (0.000, 0.500, 0.250) [4 per cell]

Energy relative to the elements   -0.7837 eV/atom

A geometry-optimized ErZrAlTl structure. Source: Alexandria, functional PBE-GGA.

Lattice parameters (Å, degrees): 7.170 7.170 7.170 90.00 90.00 90.00
Space group F-43m (No. 216)
Symmetry-distinct sites (fractional):
Er (0.000, 0.000, 0.000) [4 per cell]
Zr (0.000, 0.000, 0.500) [4 per cell]
Al (0.250, 0.250, 0.750) [4 per cell]
Tl (0.250, 0.250, 0.250) [4 per cell]

Energy relative to the elements   -0.1548 eV/atom

A geometry-optimized Ho2HfScN4 structure. Source: Alexandria, functional PBE-GGA.

Lattice parameters (Å, degrees): 5.727 3.309 5.765 90.00 109.23 90.00
Space group P2/m (No. 10)
Symmetry-distinct sites (fractional):
Ho (0.000, 0.000, 0.000) [1 per cell]
Ho (0.500, 0.500, 0.000) [1 per cell]
Hf (0.000, 0.500, 0.500) [1 per cell]
Sc (0.500, 0.000, 0.500) [1 per cell]
N (0.239, 0.000, 0.730) [2 per cell]
N (0.251, 0.500, 0.268) [2 per cell]

Formation energy from raw total energies   -1837 meV/atom

What is the formula in the first record? BeGeSbW